Model one:
A relaxed structure of SbP2, computed with GGA-PBE.

Computed properties:
**SG**: P6_3/mmc
**Crystal system**: hexagonal
**Mass density**: 4940 kg/m³
**DOS(E_F)**: 3.9 states/eV per cell

Geometry as POSCAR:
```
SbP2
1.0
3.322 0.000 0.000
-1.661 2.877 0.000
0.000 0.000 12.926
Sb P
2 4
Direct
0.000 0.000 0.250
0.000 0.000 0.750
0.333 0.667 0.048
0.333 0.667 0.452
0.667 0.333 0.548
0.667 0.333 0.952
```

Model two:
A relaxed structure of SbP2, computed with GGA-PBE.

Computed properties:
**SG**: P6_3/mmc
**Crystal system**: hexagonal
**Mass density**: 5390 kg/m³
**DOS(E_F)**: 4.3 states/eV per cell

Geometry as POSCAR:
```
SbP2
1.0
4.863 0.000 0.000
-2.432 4.212 0.000
0.000 0.000 5.526
Sb P
2 4
Direct
0.333 0.667 0.250
0.667 0.333 0.750
0.000 0.000 0.000
0.000 0.000 0.500
0.333 0.667 0.750
0.667 0.333 0.250
```

Quick one: least stable of them? model two

Model one:
A relaxed structure of SbP2, computed with GGA-PBE.

Computed properties:
**SG**: Cmcm
**Crystal system**: orthorhombic
**Mass density**: 4785 kg/m³
**DOS(E_F)**: 2.9 states/eV per cell

Geometry as POSCAR:
```
SbP2
1.0
1.623 -7.552 0.000
1.623 7.552 0.000
0.000 0.000 5.203
Sb P
2 4
Direct
0.169 0.831 0.750
0.831 0.169 0.250
0.109 0.891 0.250
0.493 0.507 0.750
0.507 0.493 0.250
0.891 0.109 0.750
```

Model two:
A relaxed structure of SbP2, computed with GGA-PBE.

Computed properties:
**SG**: P-62m
**Crystal system**: hexagonal
**Mass density**: 4523 kg/m³
**DOS(E_F)**: 3.5 states/eV per cell

Geometry as POSCAR:
```
SbP2
1.0
8.353 0.000 0.000
-4.177 7.234 0.000
0.000 0.000 3.348
Sb P
3 6
Direct
0.000 0.000 0.000
0.333 0.667 0.500
0.667 0.333 0.500
0.000 0.284 0.500
0.000 0.475 0.000
0.284 0.000 0.500
0.475 0.000 0.000
0.525 0.525 0.000
0.716 0.716 0.500
```

Quick one: least stable of them? model two